1.
Entry from the Alexandria database: Ni3PdCl after structural relaxation (PBE).

Properties
Total magnetization, Bohr magnetons per cell: 0.677
E_form (uncorrected), eV per atom: 0.508
Calculated total energy, eV per atom: -4.37
Volume, Å³ per cell: 69.8
Symmetry: Pm-3m, No. 221
Energy above the most stable polymorph in this dataset, meV per atom: 0

Structure (POSCAR):
```
Ni3PdCl
1.0
-2.785 -1.612 2.570
2.857 -0.222 2.957
-1.019 3.783 1.268
Ni Pd Cl
3 1 1
Direct
0.000 0.500 0.000
0.000 0.000 0.500
0.500 0.000 0.000
0.500 0.500 0.500
0.000 0.000 0.000
```

2.
Entry from the Alexandria database: PuGe3Ru5 after structural relaxation (PBE).

Properties
Total magnetization, Bohr magnetons per cell: 11.081
ΔE_f, kJ/mol of atoms: -13.3
Calculated total energy, eV per atom: -8.42
Volume, Å³ per cell: 289.9
Symmetry: Cmcm, No. 63

Structure (POSCAR):
```
PuGe3Ru5
1.0
2.979 0.000 0.000
-1.489 6.811 0.000
0.000 0.000 14.291
Pu Ge Ru
2 6 10
Direct
0.856 0.712 0.750
0.144 0.288 0.250
0.366 0.733 0.942
0.848 0.695 0.250
0.366 0.733 0.558
0.634 0.267 0.442
0.152 0.305 0.750
0.634 0.267 0.058
0.811 0.622 0.421
0.189 0.378 0.921
0.000 0.000 0.500
0.000 0.000 0.000
0.465 0.930 0.154
0.535 0.070 0.846
0.535 0.070 0.654
0.811 0.622 0.079
0.189 0.378 0.579
0.465 0.930 0.346
```

3.
Entry from the Alexandria database: ZrFeSb2Te after structural relaxation (PBE).

Properties
Total magnetization, Bohr magnetons per cell: 2.170
E_form (uncorrected), eV per atom: 0.433
Calculated total energy, eV per atom: -5.25
Volume, Å³ per cell: 125.1
Symmetry: P4/mmm, No. 123
Energy above the most stable polymorph in this dataset, meV per atom: 0

Structure (POSCAR):
```
ZrFeSb2Te
1.0
-0.882 4.701 0.165
-4.270 -0.730 -2.035
-2.252 -0.596 4.940
Sb Te Fe Zr
2 1 1 1
Direct
0.000 0.500 0.000
0.500 0.000 0.000
0.000 0.000 0.500
0.000 0.000 0.000
0.500 0.500 0.500
```

4.
Entry from the Alexandria database: Cr2Ga2Ag after structural relaxation (PBE).

Properties
Total magnetization, Bohr magnetons per cell: 0.000
ΔE_f, kJ/mol of atoms: 38.6
Calculated total energy, eV per atom: -5.23
Volume, Å³ per cell: 77.3
Symmetry: I4/mmm, No. 139
Energy above the most stable polymorph in this dataset, meV per atom: 223

Structure (POSCAR):
```
Cr2Ga2Ag
1.0
3.384 0.000 0.000
0.000 3.384 0.000
1.692 1.692 6.750
Cr Ga Ag
2 2 1
Direct
0.750 0.250 0.500
0.250 0.750 0.500
0.395 0.395 0.211
0.605 0.605 0.789
0.000 0.000 0.000
```